1.
BaCaI4: relaxed, GGA-PBEsol.

Computed properties:
The calculated volume is 475.0 Å³ per cell. The symmetry is C2/c, No. 15. As for the density of states at the Fermi level: 0.0 states/eV/cell. The formation energy without anion corrections is -1.649 eV/atom.

a = 8.9754 Å, b = 8.9754 Å, c = 7.5389 Å
α = 108.36°, β = 108.36°, γ = 110.34°
Closest atoms and distances in Å follow each position.
Atoms (fractional coordinates):
1 Ba 0.1346 0.8654 0.7500  8 I 3.49-3.53
2 Ba 0.8654 0.1346 0.2500  8 I 3.49-3.53
3 Ca 0.4985 0.5015 0.7500  8 I 3.26-3.33
4 Ca 0.5015 0.4985 0.2500  8 I 3.26-3.33
5 I 0.1450 0.2700 0.7800  2 Ca 3.26-3.27, 2 Ba 3.50-3.53
6 I 0.2160 0.5607 0.4187  2 Ca 3.28-3.33, 2 Ba 3.49-3.53
7 I 0.2700 0.1450 0.2800  2 Ca 3.26-3.27, 2 Ba 3.50-3.53
8 I 0.4393 0.7840 0.0813  2 Ca 3.28-3.33, 2 Ba 3.49-3.53
9 I 0.5607 0.2160 0.9187  2 Ca 3.28-3.33, 2 Ba 3.49-3.53
10 I 0.7300 0.8550 0.7200  2 Ca 3.26-3.27, 2 Ba 3.50-3.53
11 I 0.7840 0.4393 0.5813  2 Ca 3.28-3.33, 2 Ba 3.49-3.53
12 I 0.8550 0.7300 0.2200  2 Ca 3.26-3.27, 2 Ba 3.50-3.53

2.
BaCaI4: relaxed, GGA-PBEsol.

Computed properties:
The calculated volume is 510.2 Å³ per cell. The symmetry is P2/c, No. 13. As for the density of states at the Fermi level: 0.0 states/eV/cell. The formation energy without anion corrections is -1.667 eV/atom.

a = 7.8365 Å, b = 8.1584 Å, c = 8.1479 Å
α = 90.00°, β = 101.66°, γ = 90.00°
Closest atoms and distances in Å follow each position.
Atoms (fractional coordinates):
1 Ba 0.0000 0.2302 0.2500  8 I 3.42-3.65
2 Ba 0.0000 0.7698 0.7500  8 I 3.42-3.65
3 Ca 0.5000 0.3371 0.7500  6 I 3.04-3.19
4 Ca 0.5000 0.6629 0.2500  6 I 3.04-3.19
5 I 0.2481 0.4376 0.9867  2 Ca 3.14-3.19
6 I 0.2481 0.5624 0.4867  2 Ca 3.14-3.19
7 I 0.2542 0.0628 0.6002  1 Ca 3.04
8 I 0.2542 0.9372 0.1002  1 Ca 3.04
9 I 0.7458 0.0628 0.8998  1 Ca 3.04
10 I 0.7458 0.9372 0.3998  1 Ca 3.04
11 I 0.7519 0.4376 0.5133  2 Ca 3.14-3.19
12 I 0.7519 0.5624 0.0133  2 Ca 3.14-3.19